# 1
VASP calculation (PBE) on crystalline Be2FeCo at its relaxed geometry.

- Energy relative to the elements: -0.25 eV/atom
- Crystal system: tetragonal

a b c (Å): 2.596 2.596 5.356
angles (deg): 90.00 90.00 90.00
Space group P4/mmm (No. 123)
Asymmetric unit:
Be 0.000 0.000 0.227 x2
Fe 0.500 0.500 0.500 x1
Co 0.500 0.500 0.000 x1

=====

# 2
VASP calculation (PBE) on crystalline ZrNiW2 at its relaxed geometry.

- Energy relative to the elements: 0.15 eV/atom
- Crystal system: monoclinic

a b c (Å): 10.001 2.969 4.639
angles (deg): 90.00 107.34 90.00
Space group C2/m (No. 12)
Asymmetric unit:
Zr 0.000 0.000 0.000 x2
Ni 0.000 0.500 0.500 x2
W 0.231 0.000 0.727 x4

=====

# 3
VASP calculation (PBE) on crystalline HfCrSe2 at its relaxed geometry.

- Raw formation energy: -0.4277 eV/atom
- Crystal system: cubic

a b c (Å): 6.556 6.556 6.556
angles (deg): 90.00 90.00 90.00
Space group Fm-3m (No. 225)
Asymmetric unit:
Hf 0.000 0.000 0.000 x4
Cr 0.000 0.000 0.500 x4
Se 0.250 0.250 0.250 x8